a:
Entry from Alexandria: Pm2PrTm4 after structural relaxation (PBE).

The space group is P1 (1). The calculation puts the mass density at 8.09 g/cm3. The calculation puts the density of states at the Fermi level at 23.7 states/eV per cell.

CIF file:
```
data_Pm2PrTm4
_cell_length_a 6.2843
_cell_length_b 8.4846
_cell_length_c 9.2173
_cell_angle_alpha 95.32
_cell_angle_beta 90.01
_cell_angle_gamma 111.65
_symmetry_space_group_name_H-M 'P 1'
_symmetry_Int_Tables_number 1
_symmetry_space_group_name_Hall 'P 1'
loop_
_atom_site_label
_atom_site_type_symbol
_atom_site_fract_x
_atom_site_fract_y
_atom_site_fract_z
_atom_site_occupancy
Pm1 Pm 0.0000 0.0000 0.0000 1
Pm2 Pm 0.0434 0.4277 0.0708 1
Pm3 Pm 0.4299 0.8614 0.1420 1
Pm4 Pm 0.7618 0.8619 0.6429 1
Pr1 Pr 0.2821 0.5731 0.4309 1
Pr2 Pr 0.7142 0.4257 0.5707 1
Tm1 Tm 0.1415 0.2869 0.7150 1
Tm2 Tm 0.1905 0.7160 0.7877 1
Tm3 Tm 0.3283 0.0039 0.5016 1
Tm4 Tm 0.4738 0.2857 0.2127 1
Tm5 Tm 0.5660 0.1447 0.8566 1
Tm6 Tm 0.6157 0.5693 0.9280 1
Tm7 Tm 0.8538 0.7161 0.2828 1
Tm8 Tm 0.9030 0.1398 0.3571 1
```

b:
Entry from Alexandria: Pm2PrTm4 after structural relaxation (PBE).

The space group is I4/mmm (139). The calculation puts the mass density at 7.87 g/cm3. The calculation puts the density of states at the Fermi level at 13.4 states/eV per cell.

CIF file:
```
data_Pm2PrTm4
_cell_length_a 6.8150
_cell_length_b 6.8150
_cell_length_c 6.8150
_cell_angle_alpha 103.20
_cell_angle_beta 103.20
_cell_angle_gamma 122.90
_symmetry_space_group_name_H-M 'P 1'
_symmetry_Int_Tables_number 1
_symmetry_space_group_name_Hall 'P 1'
loop_
_atom_site_label
_atom_site_type_symbol
_atom_site_fract_x
_atom_site_fract_y
_atom_site_fract_z
_atom_site_occupancy
Pm1 Pm 0.2500 0.7500 0.5000 1
Pm2 Pm 0.7500 0.2500 0.5000 1
Pr1 Pr 0.0000 0.0000 0.0000 1
Tm1 Tm 0.3037 0.3037 0.6074 1
Tm2 Tm 0.3037 0.6963 0.0000 1
Tm3 Tm 0.6963 0.3037 0.0000 1
Tm4 Tm 0.6963 0.6963 0.3926 1
```

Short version: a is the most stable of them.

a:
Entry from Alexandria: Pm3Pr4Tm after structural relaxation (PBE).

The space group is C2/m (12). The calculation puts the mass density at 6.90 g/cm3. The calculation puts the density of states at the Fermi level at 13.0 states/eV per cell.

CIF file:
```
data_Pm3Pr4Tm
_cell_length_a 12.0390
_cell_length_b 12.0390
_cell_length_c 6.9689
_cell_angle_alpha 106.74
_cell_angle_beta 106.74
_cell_angle_gamma 16.90
_symmetry_space_group_name_H-M 'P 1'
_symmetry_Int_Tables_number 1
_symmetry_space_group_name_Hall 'P 1'
loop_
_atom_site_label
_atom_site_type_symbol
_atom_site_fract_x
_atom_site_fract_y
_atom_site_fract_z
_atom_site_occupancy
Pm1 Pm 0.0000 0.0000 0.0000 1
Pm2 Pm 0.1224 0.1224 0.3833 1
Pm3 Pm 0.8776 0.8776 0.6167 1
Pr1 Pr 0.1228 0.1228 0.8621 1
Pr2 Pr 0.2583 0.2583 0.2615 1
Pr3 Pr 0.7417 0.7417 0.7385 1
Pr4 Pr 0.8772 0.8772 0.1379 1
Tm1 Tm 0.5000 0.5000 0.5000 1
```

b:
Entry from Alexandria: Pm3Pr4Tm after structural relaxation (PBE).

The space group is C2/m (12). The calculation puts the mass density at 6.97 g/cm3. The calculation puts the density of states at the Fermi level at 10.5 states/eV per cell.

CIF file:
```
data_Pm3Pr4Tm
_cell_length_a 12.4447
_cell_length_b 12.4447
_cell_length_c 6.3630
_cell_angle_alpha 104.78
_cell_angle_beta 104.78
_cell_angle_gamma 17.00
_symmetry_space_group_name_H-M 'P 1'
_symmetry_Int_Tables_number 1
_symmetry_space_group_name_Hall 'P 1'
loop_
_atom_site_label
_atom_site_type_symbol
_atom_site_fract_x
_atom_site_fract_y
_atom_site_fract_z
_atom_site_occupancy
Pm1 Pm 0.0000 0.0000 0.0000 1
Pm2 Pm 0.2509 0.2509 0.2513 1
Pm3 Pm 0.7491 0.7491 0.7487 1
Pr1 Pr 0.1234 0.1234 0.4547 1
Pr2 Pr 0.3754 0.3754 0.0425 1
Pr3 Pr 0.6246 0.6246 0.9575 1
Pr4 Pr 0.8766 0.8766 0.5453 1
Tm1 Tm 0.5000 0.5000 0.5000 1
```

Short version: b is the most stable of them.